1.
A relaxed structure of RbHfGa. Source: the Open Quantum Materials Database, functional PBE.

POSCAR file:
```
RbHfGa
1.0
0.000 3.595 3.595
3.595 0.000 3.595
3.595 3.595 0.000
Rb Hf Ga
1 1 1
Direct
0.000 0.000 0.000
0.250 0.250 0.250
0.750 0.750 0.750
```

**E**: -2.92 eV/atom
**Size of the total moment**: 0.001 μB per atom



2.
A relaxed structure of RbHfGa. Source: the Open Quantum Materials Database, functional PBE.

POSCAR file:
```
RbHfGa
1.0
0.000 3.617 3.617
3.617 0.000 3.617
3.617 3.617 0.000
Rb Hf Ga
1 1 1
Direct
0.000 0.000 0.000
0.500 0.500 0.500
0.750 0.750 0.750
```

**E**: -3.56 eV/atom
**Size of the total moment**: 0.001 μB per atom



3.
A relaxed structure of RbHfGaS3. Source: the Open Quantum Materials Database, functional PBE.

POSCAR file:
```
RbHfGaS3
1.0
2.053 -7.249 0.000
2.053 7.249 0.000
0.000 0.000 10.033
Rb Hf Ga S
2 2 2 6
Direct
0.244 0.756 0.750
0.756 0.244 0.250
0.500 0.500 0.000
0.500 0.500 0.500
0.029 0.971 0.250
0.971 0.029 0.750
0.116 0.884 0.051
0.116 0.884 0.449
0.450 0.550 0.250
0.550 0.450 0.750
0.884 0.116 0.551
0.884 0.116 0.949
```

**E**: -5.30 eV/atom
**Size of the total moment**: 0.171 μB per atom



4.
A relaxed structure of HfGa2Re. Source: the Open Quantum Materials Database, functional PBE.

POSCAR file:
```
HfGa2Re
1.0
0.000 3.216 3.216
3.216 0.000 3.216
3.216 3.216 0.000
Hf Ga Re
1 2 1
Direct
0.000 0.000 0.000
0.250 0.250 0.250
0.500 0.500 0.500
0.750 0.750 0.750
```

**E**: -7.04 eV/atom
**Size of the total moment**: 0.000 μB per atom



5.
A relaxed structure of HfTlGaS3. Source: the Open Quantum Materials Database, functional PBE.

POSCAR file:
```
HfTlGaS3
1.0
1.767 -7.992 0.000
1.767 7.992 0.000
0.000 0.000 9.851
Hf Tl Ga S
2 2 2 6
Direct
0.000 0.000 0.000
0.000 0.000 0.500
0.263 0.737 0.750
0.737 0.263 0.250
0.453 0.547 0.250
0.547 0.453 0.750
0.056 0.944 0.250
0.382 0.618 0.048
0.382 0.618 0.452
0.618 0.382 0.548
0.618 0.382 0.952
0.944 0.056 0.750
```

**E**: -5.29 eV/atom
**Size of the total moment**: 0.002 μB per atom



6.
A relaxed structure of HfGaSb. Source: the Open Quantum Materials Database, functional PBE.

POSCAR file:
```
HfGaSb
1.0
0.000 3.395 3.395
3.395 0.000 3.395
3.395 3.395 0.000
Hf Ga Sb
1 1 1
Direct
0.000 0.000 0.000
0.500 0.500 0.500
0.750 0.750 0.750
```

**E**: -5.39 eV/atom
**Size of the total moment**: 0.001 μB per atom



7.
A relaxed structure of HfGa2Sb. Source: the Open Quantum Materials Database, functional PBE.

POSCAR file:
```
HfGa2Sb
1.0
0.000 3.496 3.496
3.496 0.000 3.496
3.496 3.496 0.000
Hf Ga Sb
1 2 1
Direct
0.000 0.000 0.000
0.250 0.250 0.250
0.500 0.500 0.500
0.750 0.750 0.750
```

**E**: -4.93 eV/atom
**Size of the total moment**: 0.011 μB per atom



8.
A relaxed structure of HfScGa2. Source: the Open Quantum Materials Database, functional PBE.

POSCAR file:
```
HfScGa2
1.0
0.000 3.370 3.370
3.370 0.000 3.370
3.370 3.370 0.000
Hf Sc Ga
1 1 2
Direct
0.000 0.000 0.000
0.750 0.750 0.750
0.250 0.250 0.250
0.500 0.500 0.500
```

**E**: -5.46 eV/atom
**Size of the total moment**: 0.012 μB per atom



9.
A relaxed structure of HfSc2Ga. Source: the Open Quantum Materials Database, functional PBE.

POSCAR file:
```
HfSc2Ga
1.0
0.000 3.447 3.447
3.447 0.000 3.447
3.447 3.447 0.000
Hf Sc Ga
1 2 1
Direct
0.000 0.000 0.000
0.250 0.250 0.250
0.500 0.500 0.500
0.750 0.750 0.750
```

**E**: -6.49 eV/atom
**Size of the total moment**: 0.195 μB per atom



10.
A relaxed structure of HfGaSi. Source: the Open Quantum Materials Database, functional PBE.

POSCAR file:
```
HfGaSi
1.0
0.000 3.083 3.083
3.083 0.000 3.083
3.083 3.083 0.000
Hf Ga Si
1 1 1
Direct
0.000 0.000 0.000
0.500 0.500 0.500
0.750 0.750 0.750
```

**E**: -6.04 eV/atom
**Size of the total moment**: 0.112 μB per atom



11.
A relaxed structure of Hf2GaSi. Source: the Open Quantum Materials Database, functional PBE.

POSCAR file:
```
Hf2GaSi
1.0
5.343 0.000 0.000
0.000 3.773 0.000
-2.611 0.000 7.099
Hf Ga Si
4 2 2
Direct
0.204 0.250 0.423
0.274 0.750 0.068
0.726 0.250 0.932
0.796 0.750 0.577
0.380 0.750 0.709
0.620 0.250 0.291
0.133 0.250 0.792
0.867 0.750 0.208
```

**E**: -7.78 eV/atom
**Size of the total moment**: 0.000 μB per atom



12.
A relaxed structure of SmHfGa. Source: the Open Quantum Materials Database, functional PBE.

POSCAR file:
```
SmHfGa
1.0
0.000 3.483 3.483
3.483 0.000 3.483
3.483 3.483 0.000
Sm Hf Ga
1 1 1
Direct
0.000 0.000 0.000
0.250 0.250 0.250
0.750 0.750 0.750
```

**E**: -5.10 eV/atom
**Size of the total moment**: 0.003 μB per atom



13.
A relaxed structure of SmHf2Ga2. Source: the Open Quantum Materials Database, functional PBE.

POSCAR file:
```
SmHf2Ga2
1.0
4.228 0.000 0.000
0.000 4.228 0.000
0.000 0.000 6.203
Sm Hf Ga
1 2 2
Direct
0.000 0.000 0.000
0.000 0.500 0.500
0.500 0.000 0.500
0.500 0.500 0.199
0.500 0.500 0.801
```

**E**: -6.54 eV/atom
**Size of the total moment**: 0.007 μB per atom



14.
A relaxed structure of SmHfGa. Source: the Open Quantum Materials Database, functional PBE.

POSCAR file:
```
SmHfGa
1.0
0.000 3.380 3.380
3.380 0.000 3.380
3.380 3.380 0.000
Sm Hf Ga
1 1 1
Direct
0.000 0.000 0.000
0.500 0.500 0.500
0.750 0.750 0.750
```

**E**: -5.89 eV/atom
**Size of the total moment**: 0.007 μB per atom



15.
A relaxed structure of HfGa2Sn. Source: the Open Quantum Materials Database, functional PBE.

POSCAR file:
```
HfGa2Sn
1.0
0.000 3.493 3.493
3.493 0.000 3.493
3.493 3.493 0.000
Hf Ga Sn
1 2 1
Direct
0.000 0.000 0.000
0.250 0.250 0.250
0.500 0.500 0.500
0.750 0.750 0.750
```

**E**: -4.84 eV/atom
**Size of the total moment**: 0.002 μB per atom



16.
A relaxed structure of Hf6GaSn2. Source: the Open Quantum Materials Database, functional PBE.

POSCAR file:
```
Hf6GaSn2
1.0
7.661 0.000 0.000
-3.831 6.635 0.000
0.000 0.000 3.806
Hf Ga Sn
6 1 2
Direct
0.000 0.247 0.000
0.000 0.605 0.500
0.247 0.000 0.000
0.395 0.395 0.500
0.605 0.000 0.500
0.753 0.753 0.000
0.000 0.000 0.500
0.333 0.667 0.000
0.667 0.333 0.000
```

**E**: -8.25 eV/atom
**Size of the total moment**: 0.000 μB per atom



17.
A relaxed structure of HfGa2Sn2. Source: the Open Quantum Materials Database, functional PBE.

POSCAR file:
```
HfGa2Sn2
1.0
-1.902 1.902 7.827
1.902 -1.902 7.827
1.902 1.902 -7.827
Hf Ga Sn
1 2 2
Direct
0.000 0.000 0.000
0.250 0.750 0.500
0.750 0.250 0.500
0.404 0.404 0.000
0.596 0.596 0.000
```

**E**: -4.72 eV/atom
**Size of the total moment**: 0.001 μB per atom



18.
A relaxed structure of HfGaSn2. Source: the Open Quantum Materials Database, functional PBE.

POSCAR file:
```
HfGaSn2
1.0
0.000 3.601 3.601
3.601 0.000 3.601
3.601 3.601 0.000
Hf Ga Sn
1 1 2
Direct
0.000 0.000 0.000
0.750 0.750 0.750
0.250 0.250 0.250
0.500 0.500 0.500
```

**E**: -5.03 eV/atom
**Size of the total moment**: 0.005 μB per atom



19.
A relaxed structure of HfTa3Ga2. Source: the Open Quantum Materials Database, functional PBE.

POSCAR file:
```
HfTa3Ga2
1.0
0.000 4.543 4.492
2.582 0.000 4.492
2.582 4.543 0.000
Hf Ta Ga
1 3 2
Direct
0.000 0.000 0.000
0.191 0.499 0.501
0.499 0.191 0.809
0.686 0.686 0.314
0.096 0.096 0.404
0.596 0.596 0.904
```

**E**: -8.88 eV/atom
**Size of the total moment**: 0.000 μB per atom



20.
A relaxed structure of Hf2TaGa. Source: the Open Quantum Materials Database, functional PBE.

POSCAR file:
```
Hf2TaGa
1.0
0.000 3.360 3.360
3.360 0.000 3.360
3.360 3.360 0.000
Hf Ta Ga
2 1 1
Direct
0.000 0.000 0.000
0.250 0.250 0.250
0.750 0.750 0.750
0.500 0.500 0.500
```

**E**: -8.63 eV/atom
**Size of the total moment**: 0.008 μB per atom